ZrInC2 | GGA-PBE | optimized geometry Values from VASP.

Results
The value obtained for the energy above the most stable polymorph in this dataset is 0 meV per atom. As for the energy of formation from the pure elements: 65.8 kJ per mole of atoms. The density of states at the Fermi level is 4.8 states/eV per cell. The space group is No. 122. The value obtained for the energy is -6.752 eV/atom.

Structure (Quantum ESPRESSO input):
```
&SYSTEM
  ibrav = 0, nat = 8, ntyp = 3
/
ATOMIC_SPECIES
C 12.01 C.upf
Zr 91.22 Zr.upf
In 114.82 In.upf
CELL_PARAMETERS angstrom
-4.479 -2.108 2.354
0.019 -4.101 -3.637
0.332 -5.507 2.080
ATOMIC_POSITIONS crystal
C 0.614 0.125 0.250
C 0.136 0.625 0.250
C 0.375 0.386 0.750
C 0.875 0.864 0.750
Zr 0.500 0.500 0.000
Zr 0.250 0.750 0.500
In 0.000 0.000 0.000
In 0.750 0.250 0.500
```

---

TlTcP2 | GGA-PBE | optimized geometry Values from VASP.

Results
The value obtained for the energy above the most stable polymorph in this dataset is 92 meV per atom. As for the energy of formation from the pure elements: 1.3 kJ per mole of atoms. The density of states at the Fermi level is 3.2 states/eV per cell. The space group is No. 12. The value obtained for the energy is -5.875 eV/atom.

Structure (Quantum ESPRESSO input):
```
&SYSTEM
  ibrav = 0, nat = 4, ntyp = 3
/
ATOMIC_SPECIES
P 30.97 P.upf
Tc 98.00 Tc.upf
Tl 204.38 Tl.upf
CELL_PARAMETERS angstrom
4.115 0.009 -0.129
2.884 2.936 -0.129
0.980 0.412 6.697
ATOMIC_POSITIONS crystal
P 0.972 0.972 0.111
P 0.528 0.528 0.389
Tc 0.250 0.250 0.250
Tl 0.750 0.750 0.750
```

---

Question: Which formula does entry 2 have?
Answer: TlTcP2

---

Question: energy of number 2 (TlTcP2)?
Answer: -5.875 eV/atom

---

Question: Look up the energy of the first one.
Answer: -6.752 eV/atom